No. 1
# Ga2SiSI (PBE, relaxed)
data_Ga2SiSI
_chemical_formula_sum 'Ga2 Si1 S1 I1'
_symmetry_space_group_name_H-M 'P 4/m m m'
_symmetry_Int_Tables_number 123
_symmetry_space_group_name_Hall '-P 4 2'
_cell_length_a 5.797
_cell_length_b 5.797
_cell_length_c 5.075
_cell_angle_alpha 90.00
_cell_angle_beta 90.00
_cell_angle_gamma 90.00
loop_
_atom_site_label
_atom_site_type_symbol
_atom_site_fract_x
_atom_site_fract_y
_atom_site_fract_z
Ga1 Ga 0.000 0.500 0.000
Si1 Si 0.000 0.000 0.500
S1 S 0.500 0.500 0.500
I1 I 0.500 0.500 0.000
# Crystal system   tetragonal
# DOS at the Fermi energy   4.7 states/eV/cell
# Total moment   0.00 μB per formula unit
# ΔE_f (raw)   1.074 eV per atom

=====

No. 2
# RbSb2Se (PBE, relaxed)
data_RbSb2Se
_chemical_formula_sum 'Rb2 Sb4 Se2'
_symmetry_space_group_name_H-M 'P -1'
_symmetry_Int_Tables_number 2
_cell_length_a 5.007
_cell_length_b 5.426
_cell_length_c 11.476
_cell_angle_alpha 95.11
_cell_angle_beta 94.06
_cell_angle_gamma 97.45
loop_
_symmetry_equiv_pos_as_xyz
'x,y,z'
'-x,-y,-z'
loop_
_atom_site_label
_atom_site_type_symbol
_atom_site_fract_x
_atom_site_fract_y
_atom_site_fract_z
Rb1 Rb 0.249 0.286 0.132
Sb1 Sb 0.034 0.271 0.642
Sb2 Sb 0.356 0.176 0.445
Se1 Se 0.297 0.161 0.828
# Crystal system   triclinic
# DOS at the Fermi energy   0.0 states/eV/cell
# Total moment   0.00 μB per formula unit
# ΔE_f (raw)   -0.467 eV per atom

=====

No. 3
# TiCuSe2N (PBE, relaxed)
data_TiCuSe2N
_chemical_formula_sum 'Ti1 Cu1 Se2 N1'
_symmetry_space_group_name_H-M 'P 4/m m m'
_symmetry_Int_Tables_number 123
_symmetry_space_group_name_Hall '-P 4 2'
_cell_length_a 4.853
_cell_length_b 4.853
_cell_length_c 5.056
_cell_angle_alpha 90.00
_cell_angle_beta 90.00
_cell_angle_gamma 90.00
loop_
_atom_site_label
_atom_site_type_symbol
_atom_site_fract_x
_atom_site_fract_y
_atom_site_fract_z
Ti1 Ti 0.000 0.000 0.000
Cu1 Cu 0.000 0.000 0.500
Se1 Se 0.000 0.500 0.000
N1 N 0.500 0.500 0.500
# Crystal system   tetragonal
# ΔE to the lowest computed polymorph   4.42 eV/f.u.
# DOS at the Fermi energy   3.5 states/eV/cell
# Total moment   2.81 μB per formula unit
# ΔE_f (raw)   1.063 eV per atom

=====

No. 4
# Ag2WAu (PBE, relaxed)
data_Ag2WAu
_chemical_formula_sum 'Ag8 W4 Au4'
_symmetry_space_group_name_H-M 'F m -3 m'
_symmetry_Int_Tables_number 225
_symmetry_space_group_name_Hall '-F 4 2 3'
_cell_length_a 6.500
_cell_length_b 6.500
_cell_length_c 6.500
_cell_angle_alpha 90.00
_cell_angle_beta 90.00
_cell_angle_gamma 90.00
loop_
_atom_site_label
_atom_site_type_symbol
_atom_site_fract_x
_atom_site_fract_y
_atom_site_fract_z
Ag1 Ag 0.250 0.250 0.250
W1 W 0.000 0.000 0.000
Au1 Au 0.000 0.000 0.500
# Crystal system   cubic
# ΔE to the lowest computed polymorph   1.96 eV/f.u.
# DFT formation energy   0.8181 eV per atom
# DOS at the Fermi energy   17.9 states/eV/cell
# Total moment   0.48 μB per formula unit

=====

No. 5
# YAl4Ge (PBE, relaxed)
data_YAl4Ge
_chemical_formula_sum 'Y4 Al16 Ge4'
_symmetry_space_group_name_H-M 'F -4 3 m'
_symmetry_Int_Tables_number 216
_symmetry_space_group_name_Hall 'F -4 2 3'
_cell_length_a 7.749
_cell_length_b 7.749
_cell_length_c 7.749
_cell_angle_alpha 90.00
_cell_angle_beta 90.00
_cell_angle_gamma 90.00
loop_
_atom_site_label
_atom_site_type_symbol
_atom_site_fract_x
_atom_site_fract_y
_atom_site_fract_z
Y1 Y 0.000 0.000 0.000
Al1 Al 0.125 0.125 0.625
Ge1 Ge 0.250 0.250 0.250
# Crystal system   cubic
# DFT formation energy   -0.1580 eV per atom
# DOS at the Fermi energy   8.4 states/eV/cell
# Total moment   0.00 μB per formula unit

=====

No. 6
# Cs2TlAs2Pd (PBE, relaxed)
data_Cs2TlAs2Pd
_chemical_formula_sum 'Cs8 Tl4 As8 Pd4'
_symmetry_space_group_name_H-M 'I b a m'
_symmetry_Int_Tables_number 72
_symmetry_space_group_name_Hall '-I 2 2c'
_cell_length_a 7.460
_cell_length_b 16.212
_cell_length_c 6.861
_cell_angle_alpha 90.00
_cell_angle_beta 90.00
_cell_angle_gamma 90.00
loop_
_atom_site_label
_atom_site_type_symbol
_atom_site_fract_x
_atom_site_fract_y
_atom_site_fract_z
Cs1 Cs 0.247 0.172 0.000
Tl1 Tl 0.000 0.500 0.250
As1 As 0.195 0.074 0.500
Pd1 Pd 0.000 0.000 0.250
# Crystal system   orthorhombic
# DFT formation energy   -0.2699 eV per atom
# DOS at the Fermi energy   12.2 states/eV/cell
# Total moment   0.00 μB per formula unit

=====

Please write out number 3 again, unchanged.
# TiCuSe2N (PBE, relaxed)
data_TiCuSe2N
_chemical_formula_sum 'Ti1 Cu1 Se2 N1'
_symmetry_space_group_name_H-M 'P 4/m m m'
_symmetry_Int_Tables_number 123
_symmetry_space_group_name_Hall '-P 4 2'
_cell_length_a 4.853
_cell_length_b 4.853
_cell_length_c 5.056
_cell_angle_alpha 90.00
_cell_angle_beta 90.00
_cell_angle_gamma 90.00
loop_
_atom_site_label
_atom_site_type_symbol
_atom_site_fract_x
_atom_site_fract_y
_atom_site_fract_z
Ti1 Ti 0.000 0.000 0.000
Cu1 Cu 0.000 0.000 0.500
Se1 Se 0.000 0.500 0.000
N1 N 0.500 0.500 0.500
# Crystal system   tetragonal
# ΔE to the lowest computed polymorph   4.42 eV/f.u.
# DOS at the Fermi energy   3.5 states/eV/cell
# Total moment   2.81 μB per formula unit
# ΔE_f (raw)   1.063 eV per atom